DFT (PBE-GGA) results for crystalline Tm2Be3Cu12Si at its relaxed geometry.

Properties
The crystal system is trigonal. For the energy, the calculation gives -3.853 eV per atom. The value obtained for the density is 6892 kg/m3. As for the space group: No. 166. The density of states at the Fermi level comes out at 0.393 states/eV per atom. The uncorrected formation energy is 5.35 eV per formula unit.

Structure (POSCAR):
```
Tm2Be3Cu12Si
1.0
-2.063 -1.678 -6.645
5.066 0.090 -5.054
2.137 -6.349 -2.519
Tm Be Cu Si
2 3 12 1
direct
0.603 0.603 0.603
0.397 0.397 0.397
0.500 0.000 0.000
0.000 0.500 0.000
0.000 0.000 0.500
0.342 0.342 0.900
0.875 0.875 0.379
0.379 0.875 0.875
0.900 0.342 0.342
0.875 0.379 0.875
0.342 0.900 0.342
0.658 0.658 0.100
0.125 0.125 0.621
0.621 0.125 0.125
0.100 0.658 0.658
0.125 0.621 0.125
0.658 0.100 0.658
0.000 0.000 0.000
```